1.
This record from the Alexandria database describes a relaxed structure of AcZn2Pb. The functional is PBE.

abc: 3.8122 3.8122 7.2660
angles: 90.00 90.00 90.00
Closest atoms and distances in Å follow each position.
Element x y z (fractional)
Zn (0.0000, 0.0000, 0.2177)  4 Pb 3.13, 1 Zn 3.16, 4 Ac 3.39
Pb (0.5000, 0.5000, 0.0000)  8 Zn 3.13
Zn (0.0000, 0.0000, 0.7823)  4 Pb 3.13, 1 Zn 3.16, 4 Ac 3.39
Ac (0.5000, 0.5000, 0.5000)  8 Zn 3.39, 2 Pb 3.63

Output
- electronic total energy (eV per atom) = -2.71
- DFT formation energy (meV/atom) = -122
- theoretical density (kg/m³) = 8885

2.
This record from the Alexandria database describes a relaxed structure of Ac8ZnPb2. The functional is PBE.

abc: 5.6173 7.5403 10.8954
angles: 103.31 104.94 90.00
Closest atoms and distances in Å follow each position.
Element x y z (fractional)
Pb (0.8173, 0.2394, 0.6347)  9 Ac 3.45-3.81
Ac (0.9832, 0.2230, 0.9663)  2 Zn 3.34, 1 Pb 3.52, 1 Ac 3.60
Ac (0.6531, 0.9932, 0.3062)  1 Zn 3.24, 3 Pb 3.45-3.51
Zn (0.5000, 0.0000, 0.0000)  8 Ac 3.24-3.58
Ac (0.4102, 0.5331, 0.8204)  1 Zn 3.58, 4 Ac 3.79-3.93, 2 Pb 3.81
Pb (0.1827, 0.7606, 0.3653)  9 Ac 3.45-3.81
Ac (0.2105, 0.3250, 0.4210)  3 Pb 3.47-3.75, 2 Ac 3.76
Ac (0.0168, 0.7770, 0.0337)  2 Zn 3.34, 1 Pb 3.52, 1 Ac 3.60
Ac (0.3469, 0.0068, 0.6938)  1 Zn 3.24, 3 Pb 3.45-3.51
Ac (0.7895, 0.6750, 0.5790)  3 Pb 3.47-3.75, 2 Ac 3.76
Ac (0.5898, 0.4669, 0.1796)  1 Zn 3.58, 4 Ac 3.79-3.93, 2 Pb 3.81

Output
- electronic total energy (eV per atom) = -3.97
- DFT formation energy (meV/atom) = -196
- theoretical density (kg/m³) = 8804